# 1
## ScTaBeHg2 (GGA-PBE)

Data for crystalline ScTaBeHg2 at its relaxed geometry.

a = 5.3958 Å, b = 5.3958 Å, c = 5.0177 Å
α = 90.00°, β = 90.00°, γ = 90.00°
Last column: nearest neighbours and their distance in Å.
Space group P4/mmm (No. 123)
Asymmetric unit:
Sc1 0.0000 0.0000 0.0000 [1 per cell]  2 Ta 2.51
Ta1 0.0000 0.0000 0.5000 [1 per cell]  2 Sc 2.51, 4 Hg 2.70
Be1 0.5000 0.5000 0.0000 [1 per cell]  8 Hg 3.68, 4 Sc 3.82
Hg1 0.0000 0.5000 0.5000 [2 per cell]  2 Ta 2.70

## Properties
As for the magnetization: 0.000 μB per atom. As for the density of states at the Fermi level: 1.56 states/eV/atom. The value obtained for the volume is 29.2 Å³/atom. The total energy is -3.138 eV/atom.

# 2
## FeSb2Pb (GGA-PBE)

Data for crystalline FeSb2Pb at its relaxed geometry.

a = 4.9036 Å, b = 4.9036 Å, c = 4.1645 Å
α = 90.00°, β = 90.00°, γ = 90.00°
Last column: nearest neighbours and their distance in Å.
Space group P4/mmm (No. 123)
Asymmetric unit:
Fe1 0.0000 0.0000 0.0000 [1 per cell]  8 Sb 3.22, 4 Pb 3.47
Sb1 0.0000 0.5000 0.5000 [2 per cell]  4 Fe 3.22, 4 Pb 3.22, 4 Sb 3.47
Pb1 0.5000 0.5000 0.0000 [1 per cell]  8 Sb 3.22, 4 Fe 3.47

## Properties
As for the magnetization: 0.783 μB per atom. As for the density of states at the Fermi level: 1.32 states/eV/atom. The value obtained for the volume is 25.0 Å³/atom. The raw formation energy comes out at 569 meV/atom. The total energy is -4.535 eV/atom.

# 3
## Rb2ThAlS5 (GGA-PBE)

Data for crystalline Rb2ThAlS5 at its relaxed geometry.

a = 4.0058 Å, b = 20.1946 Å, c = 14.4226 Å
α = 90.00°, β = 90.00°, γ = 90.00°
Last column: nearest neighbours and their distance in Å.
Space group Cmc2_1 (No. 36)
Asymmetric unit:
Rb1 0.0000 0.1244 0.0000 [4 per cell]  7 S 3.37-3.72
Rb2 0.0000 0.1258 0.6425 [4 per cell]  6 S 3.39-3.48
Th1 0.0000 0.1992 0.3426 [4 per cell]  6 S 2.69-2.98
Al1 0.0000 0.4331 0.7355 [4 per cell]  4 S 2.20-2.37
S1 0.0000 0.0525 0.3204 [4 per cell]  2 Al 2.37
S2 0.0000 0.3070 0.9694 [4 per cell]  2 Th 2.72
S3 0.0000 0.3214 0.7039 [4 per cell]  1 Al 2.30
S4 0.0000 0.3316 0.3227 [4 per cell]  1 Th 2.69
S5 0.0000 0.4921 0.6070 [4 per cell]  1 Al 2.20

## Properties
As for the magnetization: 0.123 μB per atom. As for the density of states at the Fermi level: 0.60 states/eV/atom. The value obtained for the volume is 32.4 Å³/atom. The raw formation energy comes out at -1291 meV/atom. The total energy is -5.040 eV/atom.

# 4
## IrWAu (GGA-PBE)

Data for crystalline IrWAu at its relaxed geometry.

a = 2.8502 Å, b = 3.9327 Å, c = 8.5037 Å
α = 90.00°, β = 90.00°, γ = 90.00°
Last column: nearest neighbours and their distance in Å.
Space group Imm2 (No. 44)
Asymmetric unit:
Ir1 0.0000 0.0000 0.0000 [2 per cell]  5 W 2.74-2.98, 5 Au 2.75-2.85, 2 Ir 2.85
W1 0.0000 0.0000 0.3509 [2 per cell]  5 Ir 2.74-2.98, 5 Au 2.77-2.85, 2 W 2.85
Au1 0.0000 0.0000 0.6763 [2 per cell]  5 Ir 2.75-2.85, 5 W 2.77-2.85, 2 Au 2.85

## Properties
As for the magnetization: 0.000 μB per atom. As for the density of states at the Fermi level: 0.53 states/eV/atom. The value obtained for the volume is 15.9 Å³/atom. The total energy is -8.298 eV/atom.

# 5
## Sc2MnAu (GGA-PBE)

Data for crystalline Sc2MnAu at its relaxed geometry.

a = 10.3053 Å, b = 3.2921 Å, c = 4.7663 Å
α = 90.00°, β = 107.35°, γ = 90.00°
Last column: nearest neighbours and their distance in Å.
Space group Cm (No. 8)
Asymmetric unit:
Sc1 0.0000 0.0000 0.0000 [2 per cell]  4 Au 2.88-2.93, 3 Mn 2.91-2.96, 1 Sc 3.18
Sc2 0.2192 0.0000 0.6498 [2 per cell]  4 Mn 2.89-2.93, 3 Au 2.93-2.97, 1 Sc 3.18
Mn1 0.2500 0.5000 0.1651 [2 per cell]  2 Au 2.86, 7 Sc 2.89-2.96
Au1 0.4734 0.0000 0.4768 [2 per cell]  2 Mn 2.86, 7 Sc 2.88-2.97

## Properties
As for the magnetization: 0.712 μB per atom. As for the density of states at the Fermi level: 0.80 states/eV/atom. The value obtained for the volume is 19.3 Å³/atom. The total energy is -6.552 eV/atom.

# 6
## Sm4Dy5Y (GGA-PBE)

Data for crystalline Sm4Dy5Y at its relaxed geometry.

a = 17.2331 Å, b = 3.5358 Å, c = 11.1299 Å
α = 90.00°, β = 90.09°, γ = 90.00°
Last column: nearest neighbours and their distance in Å.
Space group C2/m (No. 12)
Asymmetric unit:
Sm1 0.0303 0.0000 0.2491 [4 per cell]  4 Dy 3.30-3.33, 2 Y 3.35, 4 Sm 3.54-3.64
Sm2 0.1542 0.5000 0.7502 [4 per cell]  4 Sm 3.54-3.64, 7 Dy 3.68-3.85, 1 Y 3.85
Dy1 0.0000 0.5000 0.0000 [2 per cell]  4 Sm 3.33, 6 Dy 3.53-3.54
Dy2 0.1740 0.0000 0.0530 [4 per cell]  2 Sm 3.30-3.68, 6 Dy 3.38-3.54
Dy3 0.1742 0.0000 0.4463 [4 per cell]  2 Sm 3.31-3.68, 4 Dy 3.37-3.54, 2 Y 3.54
Y1 0.0000 0.5000 0.5000 [2 per cell]  4 Sm 3.35, 2 Y 3.54, 4 Dy 3.54

## Properties
As for the magnetization: 0.000 μB per atom. As for the density of states at the Fermi level: 1.35 states/eV/atom. The value obtained for the volume is 33.9 Å³/atom. The total energy is -4.647 eV/atom.

# 7
## Tm6Sc8Tl (GGA-PBE)

Data for crystalline Tm6Sc8Tl at its relaxed geometry.

a = 8.8834 Å, b = 8.8834 Å, c = 5.9677 Å
α = 90.00°, β = 90.00°, γ = 120.00°
Last column: nearest neighbours and their distance in Å.
Space group P-3 (No. 147)
Asymmetric unit:
Tm1 0.0916 0.4515 0.1907 [6 per cell]  3 Tm 3.16-3.53, 6 Sc 3.20-3.45
Sc1 0.0437 0.2669 0.6845 [6 per cell]  1 Tl 2.90, 3 Sc 3.11-3.18, 1 Tm 3.20
Sc2 0.3333 0.6667 0.6927 [2 per cell]  3 Sc 3.18, 3 Tm 3.45
Tl1 0.0000 0.0000 0.0000 [1 per cell]  6 Sc 2.90

## Properties
As for the magnetization: 0.000 μB per atom. As for the density of states at the Fermi level: 1.59 states/eV/atom. The value obtained for the volume is 27.2 Å³/atom. The total energy is -5.223 eV/atom.

# 8
## BaCa2InAg4 (GGA-PBE)

Data for crystalline BaCa2InAg4 at its relaxed geometry.

a = 5.1825 Å, b = 5.1825 Å, c = 29.0297 Å
α = 90.00°, β = 90.00°, γ = 120.00°
Last column: nearest neighbours and their distance in Å.
Space group R-3m (No. 166, hexagonal axes)
Asymmetric unit:
Ba1 0.0000 0.0000 0.0000 [3 per cell]  8 Ag 3.46-3.61
Ca1 0.0000 0.0000 0.2262 [6 per cell]  7 Ag 3.01-3.19
In1 0.0000 0.0000 0.5000 [3 per cell]  2 Ag 2.82
Ag1 0.0000 0.0000 0.1192 [6 per cell]  4 Ca 3.01-3.11, 3 In 3.29, 3 Ag 3.32
Ag2 0.0000 0.0000 0.4028 [6 per cell]  1 In 2.82

## Properties
As for the magnetization: 0.000 μB per atom. As for the density of states at the Fermi level: 0.55 states/eV/atom. The value obtained for the volume is 28.1 Å³/atom. The total energy is -2.749 eV/atom.

# 9
## AcMg2CdIn4 (GGA-PBE)

Data for crystalline AcMg2CdIn4 at its relaxed geometry.

a = 5.1319 Å, b = 5.1319 Å, c = 28.5233 Å
α = 90.00°, β = 90.00°, γ = 120.00°
Last column: nearest neighbours and their distance in Å.
Space group R-3m (No. 166, hexagonal axes)
Asymmetric unit:
Ac1 0.0000 0.0000 0.0000 [3 per cell]  8 In 3.45-3.68, 6 Mg 3.83
Mg1 0.0000 0.0000 0.2480 [6 per cell]  7 In 3.04-3.39
Cd1 0.0000 0.0000 0.5000 [3 per cell]  8 In 2.99-3.15
In1 0.0000 0.0000 0.1290 [6 per cell]  3 Cd 3.15, 4 Mg 3.21-3.39, 3 In 3.53
In2 0.0000 0.0000 0.3952 [6 per cell]  1 Cd 2.99, 3 Mg 3.04

## Properties
As for the magnetization: 0.000 μB per atom. As for the density of states at the Fermi level: 0.42 states/eV/atom. The value obtained for the volume is 27.1 Å³/atom. The total energy is -2.581 eV/atom.

# 10
## PmSmEr2Tm (GGA-PBE)

Data for crystalline PmSmEr2Tm at its relaxed geometry.

a = 6.3701 Å, b = 16.6218 Å, c = 6.3647 Å
α = 90.00°, β = 90.00°, γ = 90.00°
Last column: nearest neighbours and their distance in Å.
Space group Cmcm (No. 63)
Asymmetric unit:
Pm1 0.0000 0.1577 0.2500 [4 per cell]  1 Sm 3.08
Sm1 0.0000 0.3428 0.2500 [4 per cell]  1 Pm 3.08
Er1 0.2501 0.0000 0.0000 [8 per cell]  4 Er 3.18-3.19, 2 Sm 3.45, 2 Pm 3.46
Tm1 0.0000 0.2508 0.7500 [4 per cell]  4 Pm 3.53-3.54, 4 Sm 3.53-3.54

## Properties
As for the magnetization: 0.000 μB per atom. As for the density of states at the Fermi level: 1.68 states/eV/atom. The value obtained for the volume is 33.7 Å³/atom. The total energy is -4.253 eV/atom.